Record 1
Entry from Alexandria: an optimized crystal structure of Rb3PaF6 (PBE-GGA).

a b c (Å): 7.902 7.590 6.570
angles (deg): 67.40 62.47 50.14
Fractional coordinates of all 10 atoms:
Rb (0.000, 0.000, 0.000)
Rb (0.250, 0.250, 0.250)
Rb (0.750, 0.750, 0.750)
Pa (0.500, 0.500, 0.500)
F (0.188, 0.571, 0.812)
F (0.275, 0.725, 0.275)
F (0.429, 0.812, 0.571)
F (0.571, 0.188, 0.429)
F (0.725, 0.275, 0.725)
F (0.812, 0.429, 0.188)

Output
DFT total energy in eV for the cell shown: -53.977
Formation energy (no corrections) in eV/atom: -3.035
D(E_F) in states/eV per cell: 3.843
Calculated volume in Å³ per atom: 26.59

Record 2
Entry from Alexandria: an optimized crystal structure of RbPaF6 (PBE-GGA).

a b c (Å): 7.079 7.079 7.115
angles (deg): 90.00 90.00 110.51
Fractional coordinates of all 16 atoms:
Rb (0.250, 0.750, 0.996)
Rb (0.750, 0.250, 0.004)
Pa (0.000, 0.500, 0.500)
Pa (0.500, 0.000, 0.500)
F (0.101, 0.383, 0.740)
F (0.117, 0.399, 0.260)
F (0.148, 0.852, 0.511)
F (0.352, 0.648, 0.511)
F (0.383, 0.101, 0.260)
F (0.399, 0.117, 0.740)
F (0.601, 0.883, 0.260)
F (0.617, 0.899, 0.740)
F (0.648, 0.352, 0.489)
F (0.852, 0.148, 0.489)
F (0.883, 0.601, 0.740)
F (0.899, 0.617, 0.260)

Output
DFT total energy in eV for the cell shown: -100.220
Formation energy (no corrections) in eV/atom: -3.552
D(E_F) in states/eV per cell: 0.000
Calculated volume in Å³ per atom: 20.87

Record 3
Entry from Alexandria: an optimized crystal structure of RbPaF6 (PBE-GGA).

a b c (Å): 6.973 6.973 6.973
angles (deg): 60.00 60.00 60.00
Fractional coordinates of all 8 atoms:
Rb (0.000, 0.000, 0.000)
Pa (0.500, 0.500, 0.500)
F (0.286, 0.286, 0.714)
F (0.286, 0.714, 0.286)
F (0.286, 0.714, 0.714)
F (0.714, 0.286, 0.286)
F (0.714, 0.286, 0.714)
F (0.714, 0.714, 0.286)

Output
DFT total energy in eV for the cell shown: -50.956
Formation energy (no corrections) in eV/atom: -3.658
D(E_F) in states/eV per cell: 0.000
Calculated volume in Å³ per atom: 29.96

> Among the records above, which one has the lowest formation energy (no corrections)?

number 3

What did the third record say?
Entry from Alexandria: an optimized crystal structure of RbPaF6 (PBE-GGA).

a b c (Å): 6.973 6.973 6.973
angles (deg): 60.00 60.00 60.00
Fractional coordinates of all 8 atoms:
Rb (0.000, 0.000, 0.000)
Pa (0.500, 0.500, 0.500)
F (0.286, 0.286, 0.714)
F (0.286, 0.714, 0.286)
F (0.286, 0.714, 0.714)
F (0.714, 0.286, 0.286)
F (0.714, 0.286, 0.714)
F (0.714, 0.714, 0.286)

Output
DFT total energy in eV for the cell shown: -50.956
Formation energy (no corrections) in eV/atom: -3.658
D(E_F) in states/eV per cell: 0.000
Calculated volume in Å³ per atom: 29.96

> Look up the formation energy (no corrections) of the second one.

-3.552 eV/atom